(1)
{"formula": "Zr2GeS", "functional": "PBE", "state": "optimized geometry", "spacegroup": "R3m, No. 160", "mass_density_g_cm3": 6.052, "e_above_lowest_polymorph_ev_per_fu": 0.017, "total_magnetization_mub_per_atom": 0.00, "lattice_angstrom": [[-0.207, -1.033, -3.547], [-1.877, -3.050, -0.932], [-6.216, 2.260, -2.226]], "species": ["Zr", "Zr", "Ge", "S"], "fractional_positions": [[0.080, 0.080, 0.760], [0.254, 0.254, 0.239], [0.668, 0.668, 0.997], [0.499, 0.499, 0.503]]}

(2)
{"formula": "NiHgC", "functional": "PBE", "state": "optimized geometry", "spacegroup": "Amm2, No. 38", "e_form_ev_per_atom": 0.854, "mass_density_g_cm3": 9.540, "e_above_lowest_polymorph_ev_per_fu": 0.170, "total_magnetization_mub_per_atom": 0.00, "lattice_angstrom": [[-5.096, -0.640, 1.771], [1.210, -1.018, 3.114], [-0.050, 4.726, 1.564]], "species": ["Ni", "Ni", "C", "C", "Hg", "Hg"], "fractional_positions": [[0.000, 0.000, 0.096], [0.000, 0.500, 0.596], [0.000, 0.000, 0.460], [0.000, 0.500, 0.960], [0.500, 0.000, 0.088], [0.500, 0.500, 0.588]]}

(3)
{"formula": "TiTe3I", "functional": "PBE", "state": "optimized geometry", "spacegroup": "Pm-3m, No. 221", "mass_density_g_cm3": 4.847, "e_above_lowest_polymorph_ev_per_fu": 6.123, "total_magnetization_mub_per_atom": 0.01, "lattice_angstrom": [[-0.415, -0.009, -5.744], [-0.636, -5.724, 0.055], [-5.709, 0.639, 0.411]], "species": ["I", "Te", "Te", "Te", "Ti"], "fractional_positions": [[0.000, 0.000, 0.000], [0.000, 0.500, 0.000], [0.000, 0.000, 0.500], [0.500, 0.000, 0.000], [0.500, 0.500, 0.500]]}

(4)
{"formula": "Ba4Ac", "functional": "PBE", "state": "optimized geometry", "spacegroup": "Pm-3m, No. 221", "e_form_ev_per_atom": 0.474, "mass_density_g_cm3": 3.847, "total_magnetization_mub_per_atom": 0.00, "lattice_angstrom": [[-5.981, -0.888, -3.419], [3.497, -0.539, -5.977], [0.499, -6.868, 0.911]], "species": ["Ac", "Ba", "Ba", "Ba", "Ba"], "fractional_positions": [[0.500, 0.500, 0.500], [0.000, 0.000, 0.000], [0.500, 0.000, 0.500], [0.000, 0.500, 0.500], [0.500, 0.500, 0.000]]}

(5)
{"formula": "Tm2CN", "functional": "PBE", "state": "optimized geometry", "spacegroup": "R-3m, No. 166", "energy_ev_per_cell": -30.1, "mass_density_g_cm3": 10.261, "total_magnetization_mub_per_atom": 0.00, "lattice_angstrom": [[-1.342, -2.981, 1.035], [1.093, -1.456, 2.906], [-4.146, 1.379, 4.274]], "species": ["C", "Tm", "Tm", "N"], "fractional_positions": [[0.000, 0.000, 0.000], [0.247, 0.247, 0.260], [0.753, 0.753, 0.740], [0.500, 0.500, 0.500]]}

(6)
{"formula": "SrTlNi", "functional": "PBE", "state": "optimized geometry", "spacegroup": "P-6m2, No. 187", "e_form_ev_per_atom": -0.098, "mass_density_g_cm3": 7.303, "total_magnetization_mub_per_atom": 0.00, "lattice_angstrom": [[-1.591, 3.279, 2.788], [-2.278, -3.962, -0.417], [2.320, -1.682, 3.303]], "species": ["Ni", "Sr", "Tl"], "fractional_positions": [[0.000, 0.000, 0.833], [0.667, 0.333, 0.333], [0.333, 0.667, 0.833]]}